A relaxed structure of RbVFe2Cu, computed with PBE.

Output
Volume, Å³/cell: 107.0
M_tot, μB per atom: 0.57
Electronic total energy, hartree per atom: -0.1857
D(E_F), states/eV/atom: 1.34
Energy relative to the elements, eV/atom: 1.170

Cell lengths 4.543, 4.543, 5.186 Å; angles 90.00, 90.00, 90.00 degrees
Space group P4/mmm (No. 123)
Unique sites:
Rb  0.000  0.000  0.000 (multiplicity 1)
V  0.500  0.500  0.500 (multiplicity 1)
Fe  0.000  0.500  0.500 (multiplicity 2)
Cu  0.500  0.500  0.000 (multiplicity 1)

=====

A relaxed structure of Ni3AgRh, computed with PBE.

Output
Volume, Å³/cell: 92.7
M_tot, μB per atom: 0.73
Electronic total energy, hartree per atom: -0.1598
D(E_F), states/eV/atom: 1.05
Energy relative to the elements, eV/atom: 1.161

Cell lengths 4.525, 4.525, 4.525 Å; angles 90.00, 90.00, 90.00 degrees
Space group Pm-3m (No. 221)
Unique sites:
Ni  0.000  0.000  0.500 (multiplicity 3)
Ag  0.500  0.500  0.500 (multiplicity 1)
Rh  0.000  0.000  0.000 (multiplicity 1)